DFT (PBE) results for a geometry-optimized CsSrNp2O7 structure.

* SG: P4/mmm, No. 123
* DFT total energy: -8.539 eV per atom

a b c (Å): 4.2840 4.2840 11.1706
angles (deg): 90.00 90.00 90.00
Fractional coordinates of all 11 atoms:
Cs (0.0000, 0.0000, 0.0000)
Sr (0.0000, 0.0000, 0.5000)
Np (0.5000, 0.5000, 0.3093)
Np (0.5000, 0.5000, 0.6907)
O (0.0000, 0.5000, 0.3368)
O (0.0000, 0.5000, 0.6632)
O (0.5000, 0.0000, 0.3368)
O (0.5000, 0.0000, 0.6632)
O (0.5000, 0.5000, 0.1394)
O (0.5000, 0.5000, 0.5000)
O (0.5000, 0.5000, 0.8606)